1.
Below is ZrP2Os at its PBEsol-relaxed geometry, with properties calculated at the meta-GGA SCAN level.

Cell lengths 5.4666, 5.4666, 5.4666 Å; angles 40.35, 40.35, 40.35 degrees
With the nearest neighbours (Å) after each atom.
Positions (direct):
1 Zr 0.0000 0.0000 0.0000  6 P 2.64
2 P 0.2336 0.2336 0.2336  3 Os 2.40, 3 Zr 2.64
3 P 0.7664 0.7664 0.7664  3 Os 2.40, 3 Zr 2.64
4 Os 0.5000 0.5000 0.5000  6 P 2.40

Calculated values
Space group   R-3m, No. 166

2.
Below is Ce3Al at its PBEsol-relaxed geometry, with properties calculated at the meta-GGA SCAN level.

Cell lengths 6.4849, 5.0409, 11.7290 Å; angles 90.00, 90.21, 90.00 degrees
With the nearest neighbours (Å) after each atom.
Positions (direct):
1 Ce 0.0012 0.2500 0.2060  2 Ce 2.76-2.77, 2 Al 3.01
2 Ce 0.2450 0.7500 0.6018  1 Ce 2.77, 2 Al 3.04
3 Ce 0.2514 0.2500 0.3965  3 Ce 2.76-3.08, 2 Al 3.06
4 Ce 0.2789 0.2500 0.9324  3 Ce 2.86-2.98, 3 Al 3.13
5 Ce 0.2794 0.7500 0.0672  3 Ce 2.86-2.98, 3 Al 3.12-3.14
6 Ce 0.4950 0.7500 0.3285  6 Ce 3.08-3.40, 4 Al 3.14-3.27
7 Ce 0.5050 0.2500 0.6715  6 Ce 3.08-3.40, 4 Al 3.14-3.27
8 Ce 0.7206 0.2500 0.9328  3 Ce 2.86-2.98, 3 Al 3.12-3.14
9 Ce 0.7211 0.7500 0.0676  3 Ce 2.86-2.98, 3 Al 3.13
10 Ce 0.7486 0.7500 0.6035  3 Ce 2.76-3.08, 2 Al 3.06
11 Ce 0.7550 0.2500 0.3982  1 Ce 2.77, 2 Al 3.04
12 Ce 0.9988 0.7500 0.7940  2 Ce 2.76-2.77, 2 Al 3.01
13 Al 0.0011 0.2500 0.6530  8 Ce 3.01-3.27
14 Al 0.4985 0.7500 0.8307  12 Ce 3.12-3.27
15 Al 0.5015 0.2500 0.1693  12 Ce 3.12-3.27
16 Al 0.9989 0.7500 0.3470  8 Ce 3.01-3.27

Calculated values
Space group   P2_1/m, No. 11

One value per record, in order, for E_form: -0.7448, -0.1975 eV/atom.
One value per record, in order, for E_tot: -126.355, -568.935 eV/cell.